ScCrO3: optimized geometry, PBE+U.

Calculated values
Its symmetry is No. 221. The value obtained for the total moment is 3.0 μB per cell. Its total DFT energy (no corrections) is -7.834 eV/atom.

Lattice parameters (Å, degrees): 3.7613 3.7613 3.7613 90.00 90.00 90.00
Element x y z (fractional)
1 Sc 0.0000 0.0000 0.0000
2 Cr 0.5000 0.5000 0.5000
3 O 0.0000 0.5000 0.5000
4 O 0.5000 0.0000 0.5000
5 O 0.5000 0.5000 0.0000